A plane-wave DFT calculation with PBE was carried out for a relaxed Pm2MgAu crystal.

Output
space group: R-3m, No. 166
density: 7.17 Mg/m³
energy above the most stable polymorph in this dataset: 2.343 eV/f.u.
raw total energy: -13.8 eV/cell
formation energy from the elements: 144 meV/atom

Cell lengths 3.5042, 3.5042, 11.3171 Å; angles 81.09, 81.09, 60.00 degrees
Closest atoms and distances in Å follow each position.
Atoms (fractional coordinates):
Pm 0.0863 0.0863 0.7412  1 Au 2.88
Pm 0.9137 0.9137 0.2588  1 Au 2.88
Mg 0.5000 0.5000 0.5000  6 Pm 3.36, 6 Mg 3.50
Au 0.0000 0.0000 0.0000  2 Pm 2.88

---

A plane-wave DFT calculation with PBE was carried out for a relaxed IrOs2Au crystal.

Output
space group: I-42d, No. 122
density: 18.44 Mg/m³
energy above the most stable polymorph in this dataset: 3.130 eV/f.u.
raw total energy: -60.9 eV/cell
formation energy from the elements: 1038 meV/atom

Cell lengths 7.2647, 7.2647, 5.7692 Å; angles 50.98, 50.98, 90.00 degrees
Closest atoms and distances in Å follow each position.
Atoms (fractional coordinates):
Ir 0.5000 0.5000 0.0000  4 Os 2.44, 2 Au 2.63
Ir 0.2500 0.7500 0.5000  4 Os 2.44, 2 Au 2.63
Au 0.0000 0.0000 0.0000  2 Ir 2.63, 4 Os 2.88
Au 0.7500 0.2500 0.5000  2 Ir 2.63, 4 Os 2.88
Os 0.1686 0.6250 0.2500  2 Ir 2.44, 2 Os 2.70
Os 0.5814 0.1250 0.2500  2 Ir 2.44, 2 Os 2.70
Os 0.8750 0.8314 0.7500  2 Ir 2.44, 2 Os 2.70
Os 0.3750 0.4186 0.7500  2 Ir 2.44, 2 Os 2.70

---

A plane-wave DFT calculation with PBE was carried out for a relaxed SrEr2MgHg4 crystal.

Output
space group: R-3m, No. 166
density: 10.04 Mg/m³
raw total energy: -16.9 eV/cell
formation energy from the elements: -416 meV/atom

Cell lengths 5.1713, 5.1713, 9.4038 Å; angles 74.04, 74.04, 60.00 degrees
Closest atoms and distances in Å follow each position.
Atoms (fractional coordinates):
Hg 0.8738 0.8738 0.3786  4 Er 3.11-3.13, 3 Mg 3.18, 1 Sr 3.38
Hg 0.3858 0.3858 0.8425  1 Mg 3.05, 3 Er 3.16, 3 Sr 3.30
Hg 0.6142 0.6142 0.1575  1 Mg 3.05, 3 Er 3.16, 3 Sr 3.30
Hg 0.1262 0.1262 0.6214  4 Er 3.11-3.13, 3 Mg 3.18, 1 Sr 3.38
Sr 0.0000 0.0000 0.0000  8 Hg 3.30-3.38
Er 0.2423 0.2423 0.2732  7 Hg 3.11-3.16
Er 0.7577 0.7577 0.7268  7 Hg 3.11-3.16
Mg 0.5000 0.5000 0.5000  8 Hg 3.05-3.18

---

A plane-wave DFT calculation with PBE was carried out for a relaxed TeP3 crystal.

Output
space group: I4/mmm, No. 139
density: 5.10 Mg/m³
energy above the most stable polymorph in this dataset: 2.409 eV/f.u.
ΔE_f (raw): 0.8011 eV per atom
raw total energy: -16.2 eV/cell

Cell lengths 4.6767, 4.6767, 4.6767 Å; angles 120.48, 120.48, 89.17 degrees
Closest atoms and distances in Å follow each position.
Atoms (fractional coordinates):
P 0.5000 0.5000 0.0000  8 P 2.86
P 0.2500 0.7500 0.5000  4 Te 2.86, 4 P 2.86
P 0.7500 0.2500 0.5000  4 Te 2.86, 4 P 2.86
Te 0.0000 0.0000 0.0000  8 P 2.86

---

A plane-wave DFT calculation with PBE was carried out for a relaxed LiSmDyPd crystal.

Output
space group: F-43m, No. 216
density: 7.63 Mg/m³
raw total energy: -17.9 eV/cell
formation energy from the elements: -376 meV/atom

Cell lengths 5.0818, 5.0818, 5.0818 Å; angles 60.00, 60.00, 60.00 degrees
Closest atoms and distances in Å follow each position.
Atoms (fractional coordinates):
Pd 0.5000 0.5000 0.5000  4 Dy 3.11, 4 Sm 3.11
Sm 0.2500 0.2500 0.2500  4 Pd 3.11, 4 Li 3.11
Dy 0.7500 0.7500 0.7500  4 Li 3.11, 4 Pd 3.11
Li 0.0000 0.0000 0.0000  4 Sm 3.11, 4 Dy 3.11

---

A plane-wave DFT calculation with PBE was carried out for a relaxed NaTi2BRu crystal.

Output
space group: P4/mmm, No. 123
density: 4.80 Mg/m³
raw total energy: -32.3 eV/cell
formation energy from the elements: 156 meV/atom

Cell lengths 4.4523, 4.0238, 4.4523 Å; angles 90.00, 90.00, 90.00 degrees
Closest atoms and distances in Å follow each position.
Atoms (fractional coordinates):
B 0.0000 0.0000 0.0000  2 Ru 2.01, 4 Ti 2.23
Na 0.5000 0.5000 0.5000  8 Ti 3.00, 4 Ru 3.15
Ti 0.5000 0.0000 0.0000  2 B 2.23
Ti 0.0000 0.0000 0.5000  2 B 2.23
Ru 0.0000 0.5000 0.0000  2 B 2.01

---

A plane-wave DFT calculation with PBE was carried out for a relaxed K3Hg2Bi3 crystal.

Output
space group: Cmcm, No. 63
density: 6.58 Mg/m³
raw total energy: -36.1 eV/cell
formation energy from the elements: -312 meV/atom

Cell lengths 5.2950, 6.7378, 17.6259 Å; angles 90.00, 90.00, 113.14 degrees
Closest atoms and distances in Å follow each position.
Atoms (fractional coordinates):
K 0.6216 0.2433 0.2500  5 Bi 3.62-3.94, 4 Hg 3.83
K 0.0889 0.1779 0.8820  3 Hg 3.62-3.71, 7 Bi 3.69-4.05
K 0.3784 0.7567 0.7500  5 Bi 3.62-3.94, 4 Hg 3.83
K 0.9111 0.8221 0.3820  3 Hg 3.62-3.71, 7 Bi 3.69-4.05
K 0.9111 0.8221 0.1180  3 Hg 3.62-3.71, 7 Bi 3.69-4.05
K 0.0889 0.1779 0.6180  3 Hg 3.62-3.71, 7 Bi 3.69-4.05
Hg 0.7979 0.5957 0.6033  4 Bi 2.98-3.17
Hg 0.2021 0.4043 0.3967  4 Bi 2.98-3.17
Hg 0.7979 0.5957 0.8967  4 Bi 2.98-3.17
Hg 0.2021 0.4043 0.1033  4 Bi 2.98-3.17
Bi 0.3213 0.6426 0.2500  2 Hg 2.98
Bi 0.3792 0.7584 0.9737  1 Bi 3.13, 3 Hg 3.14-3.17
Bi 0.6787 0.3574 0.7500  2 Hg 2.98
Bi 0.6208 0.2416 0.0263  1 Bi 3.13, 3 Hg 3.14-3.17
Bi 0.6208 0.2416 0.4737  1 Bi 3.13, 3 Hg 3.14-3.17
Bi 0.3792 0.7584 0.5263  1 Bi 3.13, 3 Hg 3.14-3.17

---

A plane-wave DFT calculation with PBE was carried out for a relaxed AgAsI2O crystal.

Output
space group: P4/mmm, No. 123
density: 5.84 Mg/m³
energy above the most stable polymorph in this dataset: 3.362 eV/f.u.
ΔE_f (raw): 0.5660 eV per atom
raw total energy: -12.7 eV/cell

Cell lengths 5.6817, 5.6817, 3.9836 Å; angles 90.00, 90.00, 90.00 degrees
Closest atoms and distances in Å follow each position.
Atoms (fractional coordinates):
I 0.5000 0.0000 0.0000  2 Ag 2.84
I 0.0000 0.5000 0.0000  2 Ag 2.84
As 0.5000 0.5000 0.5000  8 I 3.47
Ag 0.0000 0.0000 0.0000  2 O 1.99
O 0.0000 0.0000 0.5000  2 Ag 1.99

---

A plane-wave DFT calculation with PBE was carried out for a relaxed Y2HoIr3 crystal.

Output
space group: P-3m1, No. 164
density: 12.63 Mg/m³
raw total energy: -48.9 eV/cell
formation energy from the elements: -804 meV/atom

Cell lengths 4.8490, 4.8490, 5.9359 Å; angles 90.00, 90.00, 120.00 degrees
Closest atoms and distances in Å follow each position.
Atoms (fractional coordinates):
Y 0.3333 0.6667 0.6668  8 Ir 2.96-2.98
Y 0.6667 0.3333 0.3332  8 Ir 2.96-2.98
Ir 0.0000 0.0000 0.5000  2 Ho 2.97, 6 Y 2.97
Ir 0.6667 0.3333 0.8354  5 Y 2.96-2.98, 3 Ho 2.97
Ir 0.3333 0.6667 0.1646  5 Y 2.96-2.98, 3 Ho 2.97
Ho 0.0000 0.0000 0.0000  8 Ir 2.97

---

A plane-wave DFT calculation with PBE was carried out for a relaxed PPtPb3 crystal.

Output
space group: Pm-3m, No. 221
density: 9.30 Mg/m³
energy above the most stable polymorph in this dataset: 1.627 eV/f.u.
raw total energy: -19.1 eV/cell
formation energy from the elements: 703 meV/atom

Cell lengths 5.3299, 5.3299, 5.3299 Å; angles 90.00, 90.00, 90.00 degrees
Closest atoms and distances in Å follow each position.
Atoms (fractional coordinates):
Pb 0.0000 0.0000 0.5000  2 P 2.66
Pb 0.0000 0.5000 0.0000  2 P 2.66
Pb 0.5000 0.0000 0.0000  2 P 2.66
Pt 0.5000 0.5000 0.5000  12 Pb 3.77
P 0.0000 0.0000 0.0000  6 Pb 2.66

---

A plane-wave DFT calculation with PBE was carried out for a relaxed PmBi6 crystal.

Output
space group: Im-3m, No. 229
density: 6.97 Mg/m³
raw total energy: -24.3 eV/cell
formation energy from the elements: 530 meV/atom

Cell lengths 7.5665, 7.5665, 7.5665 Å; angles 109.47, 109.47, 109.47 degrees
Closest atoms and distances in Å follow each position.
Atoms (fractional coordinates):
Bi 0.5000 0.2500 0.7500  4 Bi 3.09
Bi 0.2500 0.5000 0.7500  4 Bi 3.09
Bi 0.7500 0.5000 0.2500  4 Bi 3.09
Bi 0.2500 0.7500 0.5000  4 Bi 3.09
Bi 0.7500 0.2500 0.5000  4 Bi 3.09
Bi 0.5000 0.7500 0.2500  4 Bi 3.09
Pm 0.0000 0.0000 0.0000  24 Bi 4.88

---

A plane-wave DFT calculation with PBE was carried out for a relaxed BaTa2Mo crystal.

Output
space group: P4/mmm, No. 123
density: 10.44 Mg/m³
energy above the most stable polymorph in this dataset: 0.000 eV/f.u.
raw total energy: -34.3 eV/cell
formation energy from the elements: 536 meV/atom

Cell lengths 3.3052, 3.3052, 8.6638 Å; angles 90.00, 90.00, 90.00 degrees
Closest atoms and distances in Å follow each position.
Atoms (fractional coordinates):
Ba 0.5000 0.5000 0.2500  4 Ba 3.31
Ta 0.0000 0.0000 0.9156  4 Mo 2.74, 1 Ta 2.87
Ta 0.0000 0.0000 0.5844  4 Mo 2.74, 1 Ta 2.87
Mo 0.5000 0.5000 0.7500  8 Ta 2.74

---

Which of these has the lowest density?
NaTi2BRu

---

density of number 3 (SrEr2MgHg4)?
10.04 Mg/m³

---

Repeat the fifth record exactly.
A plane-wave DFT calculation with PBE was carried out for a relaxed LiSmDyPd crystal.

Output
space group: F-43m, No. 216
density: 7.63 Mg/m³
raw total energy: -17.9 eV/cell
formation energy from the elements: -376 meV/atom

Cell lengths 5.0818, 5.0818, 5.0818 Å; angles 60.00, 60.00, 60.00 degrees
Closest atoms and distances in Å follow each position.
Atoms (fractional coordinates):
Pd 0.5000 0.5000 0.5000  4 Dy 3.11, 4 Sm 3.11
Sm 0.2500 0.2500 0.2500  4 Pd 3.11, 4 Li 3.11
Dy 0.7500 0.7500 0.7500  4 Li 3.11, 4 Pd 3.11
Li 0.0000 0.0000 0.0000  4 Sm 3.11, 4 Dy 3.11